# PmFe2MoO6 (PBE with a Hubbard U, optimized geometry)
# Fermi-level density of states (states/eV/cell): 0.00
# Uncorrected energy (eV/atom): -7.25
data_PmFe2MoO6
_chemical_formula_sum 'Pm1 Fe2 Mo1 O6'
_cell_length_a 5.447
_cell_length_b 5.481
_cell_length_c 5.760
_cell_angle_alpha 61.78
_cell_angle_beta 88.87
_cell_angle_gamma 60.92
_space_group_name_H-M_alt 'P 1'
_space_group_IT_number 1
loop_
_space_group_symop_operation_xyz
'x,y,z'
loop_
_atom_site_label
_atom_site_fract_x
_atom_site_fract_y
_atom_site_fract_z
_atom_site_occupancy
Pm1 0.000 0.000 0.000 1
Fe1 0.287 0.422 0.845 1
Fe2 0.789 0.431 0.362 1
Mo1 0.491 0.017 0.460 1
O1 0.105 0.482 0.174 1
O2 0.234 0.916 0.650 1
O3 0.426 0.913 0.181 1
O4 0.579 0.210 0.660 1
O5 0.661 0.239 0.185 1
O6 0.867 0.576 0.645 1